# PBEsol LiZn2P, optimized geometry
# Mass density ... 4.79 g/cm3
# Energy ... -2.676 eV/atom
# Total magnetization ... 0.0000 μB/atom
data_LiZn2P
_cell_length_a 3.460
_cell_length_b 4.154
_cell_length_c 8.139
_cell_angle_alpha 90.00
_cell_angle_beta 90.00
_cell_angle_gamma 90.00
_space_group_name_H-M_alt 'C m m m'
_space_group_IT_number 65
_space_group_name_Hall '-C 2 2'
loop_
_atom_site_label
_atom_site_fract_x
_atom_site_fract_y
_atom_site_fract_z
Li1 0.000 0.000 0.000
Zn1 0.000 0.500 0.248
P1 0.000 0.000 0.500